# GGA-PBE Cs2MgMnCl6, relaxed
# Total energy ... -4.0509 eV/atom
data_Cs2MgMnCl6
_cell_length_a 10.279
_cell_length_b 10.279
_cell_length_c 10.279
_cell_angle_alpha 90.00
_cell_angle_beta 90.00
_cell_angle_gamma 90.00
_space_group_name_H-M_alt 'F m -3 m'
_space_group_IT_number 225
_space_group_name_Hall '-F 4 2 3'
loop_
_atom_site_label
_atom_site_type_symbol
_atom_site_fract_x
_atom_site_fract_y
_atom_site_fract_z
_atom_site_occupancy
Cs1 Cs 0.250 0.250 0.250 1
Mg1 Mg 0.000 0.000 0.000 1
Mn1 Mn 0.000 0.000 0.500 1
Cl1 Cl 0.000 0.000 0.250 1